The following is a DFT calculation (PBE) of Tb6Pm5Pb after structural relaxation. Values from VASP.

Properties
The calculation puts the density of states at the Fermi level at 1.34 states/eV/atom. The formation energy is -65 meV/atom. The magnetic moment is 0.000 μB/f.u.

```
&SYSTEM
  ibrav = 0, nat = 12, ntyp = 3
/
ATOMIC_SPECIES
Tb 158.93 Tb.upf
Pm 145.00 Pm.upf
Pb 207.20 Pb.upf
CELL_PARAMETERS angstrom
-2.4913 5.0653 7.6346
2.4913 -5.0653 7.6346
2.4913 5.0653 -7.6346
ATOMIC_POSITIONS angstrom
Tb 2.4913 2.4879 -2.5146
Tb 0.0000 2.4568 0.0000
Tb 2.4913 2.4879 2.5146
Tb 0.0000 2.5774 5.1200
Tb 0.0000 7.6737 0.0000
Tb 0.0000 2.5774 10.1492
Pm 0.0000 0.0000 2.6031
Pm 2.4913 0.0000 5.1678
Pm 0.0000 0.0000 7.6346
Pm 0.0000 5.0653 2.4668
Pm 0.0000 0.0000 12.6661
Pb 2.4913 0.0000 0.0000
```